Entry 1:
Here is an optimized crystal structure of Cs2YZrAg from Alexandria via LeMat-Bulk. Energies are from GGA-PBEsol.

```
Cs2YZrAg
1.0
6.504 0.000 0.000
0.000 6.504 0.000
0.000 0.000 5.248
Cs Y Zr Ag
2 1 1 1
Cartesian
0.000 3.252 0.000
3.252 0.000 0.000
0.000 0.000 0.000
3.252 3.252 2.624
0.000 0.000 2.624
```

Summary:
* V: 222.0 Å³/cell
* DOS(E_F): 11.87 states/eV/cell
* formation energy: 1.602 eV/atom

Entry 2:
Here is an optimized crystal structure of CsZn2Ag from Alexandria via LeMat-Bulk. Energies are from GGA-PBEsol.

```
CsZn2Ag
1.0
0.000 3.743 3.743
3.743 0.000 3.743
3.743 3.743 0.000
Cs Zn Ag
1 2 1
Cartesian
0.000 0.000 0.000
1.871 1.871 1.871
5.614 5.614 5.614
3.743 3.743 3.743
```

Summary:
* V: 104.9 Å³/cell
* DOS(E_F): 0.64 states/eV/cell
* formation energy: 0.455 eV/atom

Entry 3:
Here is an optimized crystal structure of CuAg from Alexandria via LeMat-Bulk. Energies are from GGA-PBEsol.

```
CuAg
1.0
2.852 0.000 0.000
0.000 2.852 0.000
0.000 0.000 6.877
Cu Ag
2 2
Cartesian
0.713 0.713 0.688
2.139 2.139 6.189
0.713 0.713 4.459
2.139 2.139 2.419
```

Summary:
* V: 55.9 Å³/cell
* DOS(E_F): 1.31 states/eV/cell
* formation energy: 0.071 eV/atom

Entry 4:
Here is an optimized crystal structure of CuAg2 from Alexandria via LeMat-Bulk. Energies are from GGA-PBEsol.

```
CuAg2
1.0
-1.393 1.889 4.256
1.393 -1.889 4.256
1.393 1.889 -4.256
Cu Ag
1 2
Cartesian
0.000 0.000 0.000
0.000 0.000 2.887
0.000 0.000 5.625
```

Summary:
* V: 44.8 Å³/cell
* DOS(E_F): 0.80 states/eV/cell
* formation energy: 0.089 eV/atom

> Number 3 is which compound?

CuAg